First-principles (PBE) data for a geometry-optimized ReTc2O4 structure, as listed in OQMD via LeMat-Bulk.

Cell lengths 6.126, 6.126, 6.126 Å; angles 119.98, 90.04, 119.98 degrees
Each line ends with the local moment (μB).
Fractional positions:
1 O 0.137 0.758 0.379  0.00
2 O 0.621 0.242 0.379  0.00
3 O 0.621 0.758 0.379  0.00
4 O 0.129 0.258 0.387  0.00
5 O 0.621 0.242 0.863  0.00
6 O 0.129 0.742 0.871  0.00
7 O 0.129 0.258 0.871  0.00
8 O 0.613 0.742 0.871  0.00
9 Re 0.000 0.000 0.000  -0.20
10 Re 0.750 0.500 0.250  -0.20
11 Tc 0.375 0.750 0.125  0.09
12 Tc 0.375 0.750 0.625  0.09
13 Tc 0.375 0.250 0.625  0.07
14 Tc 0.875 0.250 0.625  0.07

Properties
calculated volume: 11.61 Å³ per atom
crystal system: cubic
total DFT energy (no corrections): -111.69 eV for the cell shown


First-principles (PBE) data for a geometry-optimized Re2Te2O5 structure, as listed in OQMD via LeMat-Bulk.

Cell lengths 8.976, 3.405, 3.405 Å; angles 90.00, 90.00, 90.00 degrees
Fractional positions:
1 O 0.348 0.500 0.000
2 O 0.652 0.500 0.000
3 O 0.348 0.000 0.500
4 O 0.652 0.000 0.500
5 O 0.500 0.500 0.500
6 Re 0.000 0.000 0.000
7 Re 0.500 0.000 0.000
8 Te 0.182 0.500 0.500
9 Te 0.818 0.500 0.500

Properties
calculated volume: 11.56 Å³ per atom
crystal system: tetragonal
polymorph energy (0 for the lowest one): 0.603 eV/atom


First-principles (PBE) data for a geometry-optimized Re2Te2O5 structure, as listed in OQMD via LeMat-Bulk.

Cell lengths 10.401, 3.718, 3.718 Å; angles 90.00, 90.00, 90.00 degrees
Fractional positions:
1 O 0.256 0.500 0.000
2 O 0.744 0.500 0.000
3 O 0.256 0.000 0.500
4 O 0.744 0.000 0.500
5 O 0.500 0.500 0.500
6 Re 0.257 0.500 0.500
7 Re 0.743 0.500 0.500
8 Te 0.000 0.000 0.000
9 Te 0.500 0.000 0.000

Properties
calculated volume: 15.97 Å³ per atom
crystal system: tetragonal
polymorph energy (0 for the lowest one): 0.000 eV/atom


First-principles (PBE) data for a geometry-optimized ReTe2O6 structure, as listed in OQMD via LeMat-Bulk.

Cell lengths 5.413, 6.817, 8.991 Å; angles 90.00, 125.02, 90.00 degrees
Each line ends with the local moment (μB).
Fractional positions:
1 O 0.841 0.646 0.019  0.06
2 O 0.773 0.263 0.086  0.04
3 O 0.323 0.078 0.241  0.06
4 O 0.677 0.578 0.259  0.06
5 O 0.227 0.763 0.414  0.04
6 O 0.159 0.146 0.481  0.06
7 O 0.841 0.854 0.519  0.06
8 O 0.773 0.237 0.586  0.04
9 O 0.323 0.422 0.741  0.06
10 O 0.677 0.922 0.759  0.06
11 O 0.227 0.737 0.914  0.04
12 O 0.159 0.354 0.981  0.06
13 Re 0.500 0.500 0.000  2.28
14 Re 0.500 0.000 0.500  2.28
15 Te 0.183 0.344 0.207  0.08
16 Te 0.817 0.844 0.293  0.08
17 Te 0.183 0.156 0.707  0.08
18 Te 0.817 0.656 0.793  0.08

Properties
calculated volume: 15.09 Å³ per atom
crystal system: monoclinic
total DFT energy (no corrections): -115.00 eV for the cell shown


| no. | total moment (μB per cell) |
| --- | --- |
| 1 | 0.19 |
| 2 | 0.01 |
| 3 | 0.02 |
| 4 | 6.01 |